Record 1
The following is a DFT calculation (PBE) of a relaxed structure of PrAlB.

Unit cell a=6.2355 b=6.2355 c=6.2355 alpha=90.00 beta=90.00 gamma=90.00
Closest atoms and distances in Å follow each position.
Space group F-43m (No. 216)
One atom of each set of equivalent atoms:
Pr  0.0000  0.0000  0.0000 [4 per cell]  4 Al 2.70
Al  0.2500  0.2500  0.7500 [4 per cell]  4 Pr 2.70, 4 B 2.70
B  0.0000  0.0000  0.5000 [4 per cell]  4 Al 2.70

## Properties
- energy above the most stable polymorph in this dataset (kcal/mol of atoms) = 15.98
- theoretical density (Mg/m³) = 4.9
- DFT total energy (eV per formula unit) = -13.1


Record 2
The following is a DFT calculation (PBE) of a relaxed structure of AlB4Pt.

Unit cell a=3.0287 b=3.0287 c=6.8050 alpha=90.00 beta=90.00 gamma=120.00
Closest atoms and distances in Å follow each position.
Space group P6/mmm (No. 191)
One atom of each set of equivalent atoms:
Al  0.0000  0.0000  0.0000 [1 per cell]  12 B 2.33
B  0.3333  0.6667  0.2261 [4 per cell]  3 B 1.75
Pt  0.0000  0.0000  0.5000 [1 per cell]  12 B 2.56

## Properties
- energy above the most stable polymorph in this dataset (kcal/mol of atoms) = 0.00
- theoretical density (Mg/m³) = 8.1
- DFT total energy (eV per formula unit) = -35.7


Record 3
The following is a DFT calculation (PBE) of a relaxed structure of AlB4Pt.

Unit cell a=3.0666 b=5.1929 c=6.9553 alpha=90.00 beta=90.00 gamma=90.00
Closest atoms and distances in Å follow each position.
Space group Immm (No. 71)
One atom of each set of equivalent atoms:
Al  0.0000  0.0000  0.0000 [2 per cell]  12 B 2.42-2.50
B  0.0000  0.3267  0.2644 [8 per cell]  3 B 1.74-1.80
Pt  0.0000  0.0000  0.5000 [2 per cell]  12 B 2.36-2.56

## Properties
- energy above the most stable polymorph in this dataset (kcal/mol of atoms) = 1.28
- theoretical density (Mg/m³) = 8.0
- DFT total energy (eV per formula unit) = -35.4


Record 4
The following is a DFT calculation (PBE) of a relaxed structure of AlBPt3.

Unit cell a=6.4568 b=6.4568 c=11.5328 alpha=90.00 beta=90.00 gamma=120.00
Closest atoms and distances in Å follow each position.
Space group R-3 (No. 148, hexagonal axes)
One atom of each set of equivalent atoms:
Al  0.0000  0.0000  0.2478 [6 per cell]  6 Pt 2.49-2.76
B  0.0000  0.0000  0.0000 [3 per cell]  6 Pt 2.23
B  0.0000  0.0000  0.5000 [3 per cell]  6 Pt 2.22
Pt  0.0007  0.6146  0.2502 [18 per cell]  2 B 2.22-2.23

## Properties
- theoretical density (Mg/m³) = 14.9
- DFT total energy (eV per formula unit) = -31.5


Record 5
The following is a DFT calculation (PBE) of a relaxed structure of AlRe2B2.

Unit cell a=3.7389 b=3.7389 c=8.6796 alpha=90.00 beta=90.00 gamma=90.00
Closest atoms and distances in Å follow each position.
Space group I4/mmm (No. 139)
One atom of each set of equivalent atoms:
Al  0.0000  0.0000  0.0000 [2 per cell]  8 B 2.78, 8 Re 2.86
Re  0.0000  0.5000  0.2500 [4 per cell]  4 B 2.28
B  0.0000  0.0000  0.4001 [4 per cell]  1 B 1.73

## Properties
- theoretical density (Mg/m³) = 11.5
- DFT total energy (eV per formula unit) = -41.2


Record 6
The following is a DFT calculation (PBE) of a relaxed structure of AlRe6B.

Unit cell a=7.9516 b=7.9516 c=7.9516 alpha=90.00 beta=90.00 gamma=90.00
Closest atoms and distances in Å follow each position.
Space group F-43m (No. 216)
One atom of each set of equivalent atoms:
Al  0.0000  0.0000  0.0000 [4 per cell]  12 Re 2.82
Re  0.0205  0.2500  0.2500 [24 per cell]  1 B 2.15
B  0.2500  0.2500  0.7500 [4 per cell]  6 Re 2.15

## Properties
- theoretical density (Mg/m³) = 15.3
- DFT total energy (eV per formula unit) = -81.4


Record 7
The following is a DFT calculation (PBE) of a relaxed structure of SmAlB4.

Unit cell a=3.2218 b=5.2608 c=7.9859 alpha=90.00 beta=90.00 gamma=90.00
Closest atoms and distances in Å follow each position.
Space group Immm (No. 71)
One atom of each set of equivalent atoms:
Sm  0.0000  0.0000  0.0000 [2 per cell]  12 B 2.67-2.69
Al  0.0000  0.0000  0.5000 [2 per cell]  12 B 2.58-2.77
B  0.0000  0.3273  0.2588 [8 per cell]  3 B 1.81-1.82

## Properties
- energy above the most stable polymorph in this dataset (kcal/mol of atoms) = 1.48
- theoretical density (Mg/m³) = 5.4
- DFT total energy (eV per formula unit) = -36.1


Record 8
The following is a DFT calculation (PBE) of a relaxed structure of SmAlB4.

Unit cell a=3.1147 b=3.1147 c=7.4449 alpha=90.00 beta=90.00 gamma=120.00
Closest atoms and distances in Å follow each position.
Space group P6/mmm (No. 191)
One atom of each set of equivalent atoms:
Sm  0.0000  0.0000  0.0000 [1 per cell]  12 B 2.80, 6 Sm 3.11
Al  0.0000  0.0000  0.5000 [1 per cell]  12 B 2.39
B  0.3333  0.6667  0.2885 [4 per cell]  3 B 1.80

## Properties
- energy above the most stable polymorph in this dataset (kcal/mol of atoms) = 0.00
- theoretical density (Mg/m³) = 5.9
- DFT total energy (eV per formula unit) = -36.5


Record 9
The following is a DFT calculation (PBE) of a relaxed structure of TaAlB.

Unit cell a=5.7881 b=5.7881 c=5.7881 alpha=90.00 beta=90.00 gamma=90.00
Closest atoms and distances in Å follow each position.
Space group F-43m (No. 216)
One atom of each set of equivalent atoms:
Ta  0.0000  0.0000  0.0000 [4 per cell]  4 B 2.51, 4 Al 2.51
Al  0.2500  0.2500  0.7500 [4 per cell]  4 Ta 2.51
B  0.2500  0.2500  0.2500 [4 per cell]  4 Ta 2.51

## Properties
- energy above the most stable polymorph in this dataset (kcal/mol of atoms) = 0.00
- theoretical density (Mg/m³) = 7.5
- DFT total energy (eV per formula unit) = -19.1


Record 10
The following is a DFT calculation (PBE) of a relaxed structure of Ta3AlB4.

Unit cell a=3.1104 b=3.2992 c=8.5464 alpha=90.00 beta=90.00 gamma=90.00
Closest atoms and distances in Å follow each position.
Space group Pmmm (No. 47)
One atom of each set of equivalent atoms:
Ta  0.0000  0.0000  0.0000 [1 per cell]  12 B 2.45-2.48
Ta  0.5000  0.0000  0.3071 [2 per cell]  6 B 2.37-2.40
Al  0.0000  0.5000  0.5000 [1 per cell]  2 B 2.42
B  0.0000  0.5000  0.2168 [2 per cell]  2 B 1.81
B  0.5000  0.5000  0.1079 [2 per cell]  3 B 1.81-1.84

## Properties
- theoretical density (Mg/m³) = 11.6
- DFT total energy (eV per formula unit) = -70.7


Record 11
The following is a DFT calculation (PBE) of a relaxed structure of TaAl2B6.

Unit cell a=9.2393 b=10.8548 c=3.4097 alpha=90.00 beta=90.00 gamma=90.00
Closest atoms and distances in Å follow each position.
Space group Pbam (No. 55)
One atom of each set of equivalent atoms:
Ta  0.1578  0.1806  0.0000 [4 per cell]  10 B 2.31-2.36
Al  0.0475  0.6266  0.0000 [4 per cell]  12 B 2.37-2.59
Al  0.1314  0.9073  0.0000 [4 per cell]  8 B 2.39-2.54
B  0.0125  0.7915  0.5000 [4 per cell]  3 B 1.70-1.87
B  0.0673  0.0558  0.5000 [4 per cell]  3 B 1.74-1.93
B  0.0861  0.4780  0.5000 [4 per cell]  3 B 1.66-1.67
B  0.1326  0.3291  0.5000 [4 per cell]  2 B 1.67-1.80
B  0.1924  0.7567  0.5000 [4 per cell]  2 B 1.70-1.80
B  0.2252  0.5767  0.5000 [4 per cell]  1 B 1.67

## Properties
- theoretical density (Mg/m³) = 5.8
- DFT total energy (eV per formula unit) = -59.7


Record 12
The following is a DFT calculation (PBE) of a relaxed structure of Ta3AlB2.

Unit cell a=3.2327 b=3.2327 c=18.9087 alpha=90.00 beta=90.00 gamma=120.00
Closest atoms and distances in Å follow each position.
Space group P6_3/mmc (No. 194)
One atom of each set of equivalent atoms:
Ta  0.0000  0.0000  0.0000 [2 per cell]  6 B 2.31
Ta  0.3333  0.6667  0.1354 [4 per cell]  3 B 2.22
Al  0.0000  0.0000  0.2500 [2 per cell]  6 Ta 2.86
B  0.3333  0.6667  0.5716 [4 per cell]  6 Ta 2.22-2.31

## Properties
- theoretical density (Mg/m³) = 11.5
- DFT total energy (eV per formula unit) = -55.8


Record 13
The following is a DFT calculation (PBE) of a relaxed structure of TaAlB.

Unit cell a=5.6725 b=5.6725 c=5.6725 alpha=90.00 beta=90.00 gamma=90.00
Closest atoms and distances in Å follow each position.
Space group F-43m (No. 216)
One atom of each set of equivalent atoms:
Ta  0.0000  0.0000  0.0000 [4 per cell]  4 Al 2.46
Al  0.2500  0.2500  0.7500 [4 per cell]  4 Ta 2.46, 4 B 2.46
B  0.0000  0.0000  0.5000 [4 per cell]  4 Al 2.46

## Properties
- energy above the most stable polymorph in this dataset (kcal/mol of atoms) = 5.71
- theoretical density (Mg/m³) = 8.0
- DFT total energy (eV per formula unit) = -18.3


Record 14
The following is a DFT calculation (PBE) of a relaxed structure of TbAlB4.

Unit cell a=3.1163 b=3.1163 c=7.2534 alpha=90.00 beta=90.00 gamma=120.00
Closest atoms and distances in Å follow each position.
Space group P6/mmm (No. 191)
One atom of each set of equivalent atoms:
Tb  0.0000  0.0000  0.0000 [1 per cell]  12 B 2.72
Al  0.0000  0.0000  0.5000 [1 per cell]  12 B 2.40
B  0.3333  0.6667  0.2815 [4 per cell]  3 B 1.80

## Properties
- energy above the most stable polymorph in this dataset (kcal/mol of atoms) = 0.00
- theoretical density (Mg/m³) = 6.2
- DFT total energy (eV per formula unit) = -36.7


Record 15
The following is a DFT calculation (PBE) of a relaxed structure of TbAl3B2.

Unit cell a=5.3343 b=5.3343 c=3.4190 alpha=90.00 beta=90.00 gamma=120.00
Closest atoms and distances in Å follow each position.
Space group P6/mmm (No. 191)
One atom of each set of equivalent atoms:
Tb  0.0000  0.0000  0.0000 [1 per cell]  6 B 3.08, 12 Al 3.17, 2 Tb 3.42
Al  0.0000  0.5000  0.5000 [3 per cell]  4 B 2.30
B  0.3333  0.6667  0.0000 [2 per cell]  6 Al 2.30

## Properties
- theoretical density (Mg/m³) = 5.2
- DFT total energy (eV per formula unit) = -29.6


Record 16
The following is a DFT calculation (PBE) of a relaxed structure of TbAlB4.

Unit cell a=3.1976 b=5.2368 c=7.7529 alpha=90.00 beta=90.00 gamma=90.00
Closest atoms and distances in Å follow each position.
Space group Immm (No. 71)
One atom of each set of equivalent atoms:
Tb  0.0000  0.0000  0.0000 [2 per cell]  12 B 2.62-2.64
Al  0.0000  0.0000  0.5000 [2 per cell]  12 B 2.54-2.72
B  0.0000  0.3278  0.2591 [8 per cell]  3 B 1.80

## Properties
- energy above the most stable polymorph in this dataset (kcal/mol of atoms) = 0.82
- theoretical density (Mg/m³) = 5.9
- DFT total energy (eV per formula unit) = -36.5


Record 17
The following is a DFT calculation (PBE) of a relaxed structure of Al2TcB2.

Unit cell a=3.5047 b=3.5047 c=8.9362 alpha=90.00 beta=90.00 gamma=90.00
Closest atoms and distances in Å follow each position.
Space group I4/mmm (No. 139)
One atom of each set of equivalent atoms:
Al  0.0000  0.5000  0.2500 [4 per cell]  4 B 2.25, 4 Al 2.48
Tc  0.0000  0.0000  0.0000 [2 per cell]  8 B 2.61, 8 Al 2.84
B  0.0000  0.0000  0.4072 [4 per cell]  1 B 1.66

## Properties
- theoretical density (Mg/m³) = 5.3
- DFT total energy (eV per formula unit) = -29.9


Record 18
The following is a DFT calculation (PBE) of a relaxed structure of AlTcB.

Unit cell a=5.4545 b=5.4545 c=5.4545 alpha=90.00 beta=90.00 gamma=90.00
Closest atoms and distances in Å follow each position.
Space group F-43m (No. 216)
One atom of each set of equivalent atoms:
Al  0.0000  0.0000  0.0000 [4 per cell]  4 Tc 2.36, 4 B 2.36
Tc  0.2500  0.2500  0.2500 [4 per cell]  4 Al 2.36
B  0.2500  0.2500  0.7500 [4 per cell]  4 Al 2.36

## Properties
- energy above the most stable polymorph in this dataset (kcal/mol of atoms) = 6.13
- theoretical density (Mg/m³) = 5.6
- DFT total energy (eV per formula unit) = -17.9


Record 19
The following is a DFT calculation (PBE) of a relaxed structure of AlTc2B2.

Unit cell a=3.6844 b=3.6844 c=8.7612 alpha=90.00 beta=90.00 gamma=90.00
Closest atoms and distances in Å follow each position.
Space group I4/mmm (No. 139)
One atom of each set of equivalent atoms:
Al  0.0000  0.0000  0.0000 [2 per cell]  8 B 2.74, 8 Tc 2.86
Tc  0.0000  0.5000  0.2500 [4 per cell]  4 B 2.27
B  0.0000  0.0000  0.4016 [4 per cell]  1 B 1.72

## Properties
- energy above the most stable polymorph in this dataset (kcal/mol of atoms) = 11.22
- theoretical density (Mg/m³) = 6.8
- DFT total energy (eV per formula unit) = -37.7


Record 20
The following is a DFT calculation (PBE) of a relaxed structure of Al2TcB.

Unit cell a=5.8561 b=5.8561 c=5.8561 alpha=90.00 beta=90.00 gamma=90.00
Closest atoms and distances in Å follow each position.
Space group F-43m (No. 216)
One atom of each set of equivalent atoms:
Al  0.0000  0.0000  0.0000 [4 per cell]  4 Al 2.54, 4 Tc 2.54
Al  0.2500  0.2500  0.2500 [4 per cell]  4 Al 2.54, 4 B 2.54
Tc  0.2500  0.2500  0.7500 [4 per cell]  4 Al 2.54, 4 B 2.54
B  0.0000  0.0000  0.5000 [4 per cell]  4 Tc 2.54, 4 Al 2.54

## Properties
- theoretical density (Mg/m³) = 5.4
- DFT total energy (eV per formula unit) = -22.6